A plane-wave DFT calculation with PBE with a Hubbard U was carried out for a relaxed K3FeTe2O9 crystal.

Unit cell a=5.6693 b=5.6693 c=6.9465 alpha=90.00 beta=90.00 gamma=120.00
Closest atoms and distances in Å follow each position.
Positions (direct):
K 0.0000 0.0000 0.0000  12 O 2.82-2.83
K 0.3333 0.6667 0.6639  12 O 2.84-2.85
K 0.6667 0.3333 0.3361  12 O 2.84-2.85
Fe 0.0000 0.0000 0.5000  6 O 2.05
Te 0.3333 0.6667 0.1770  6 O 1.92-2.05
Te 0.6667 0.3333 0.8230  6 O 1.92-2.05
O 0.0000 0.5000 0.0000  2 Te 2.05
O 0.1698 0.3395 0.3272  1 Te 1.92, 1 Fe 2.05
O 0.1698 0.8302 0.3272  1 Te 1.92, 1 Fe 2.05
O 0.3395 0.1698 0.6728  1 Te 1.92, 1 Fe 2.05
O 0.5000 0.0000 0.0000  2 Te 2.05
O 0.5000 0.5000 0.0000  2 Te 2.05
O 0.6605 0.8302 0.3272  1 Te 1.92, 1 Fe 2.05
O 0.8302 0.1698 0.6728  1 Te 1.92, 1 Fe 2.05
O 0.8302 0.6605 0.6728  1 Te 1.92, 1 Fe 2.05

electronic total energy: -5.261 eV/atom
V: 12.89 Å³/atom